# MgPaTl, relaxed, DFT PBE
data_MgPaTl
_cell_length_a 5.8841
_cell_length_b 8.4340
_cell_length_c 12.4299
_cell_angle_alpha 90.00
_cell_angle_beta 90.00
_cell_angle_gamma 90.00
_space_group_name_H-M_alt 'F m m m'
_space_group_IT_number 69
_space_group_name_Hall '-F 2 2'
loop_
_atom_site_label
_atom_site_type_symbol
_atom_site_fract_x
_atom_site_fract_y
_atom_site_fract_z
_atom_site_occupancy
Mg1 Mg 0.2500 0.2500 0.2500 1
Pa1 Pa 0.0000 0.1543 0.0000 1
Tl1 Tl 0.0000 0.0000 0.3739 1
# Energy relative to the elements in eV per atom: 0.275
# Density of states at the Fermi level in states/eV per cell: 37.1
# Raw total energy in Ry/atom: -0.3095
# Polymorph energy (0 for the lowest one) in eV/atom: 0.088
# Crystal system: orthorhombic